(1)
# PBE ScAlCuAu, relaxed
# M_tot   0.0 μB per formula unit
# Energy relative to the lowest polymorph listed for this composition   0.000 eV per atom
# Space-group type   F-43m
data_ScAlCuAu
_chemical_formula_sum 'Sc1 Al1 Cu1 Au1'
_symmetry_space_group_name_H-M 'P 1'
_symmetry_Int_Tables_number 1
_cell_length_a 4.5317
_cell_length_b 4.5317
_cell_length_c 4.5317
_cell_angle_alpha 60.00
_cell_angle_beta 60.00
_cell_angle_gamma 60.00
loop_
_symmetry_equiv_pos_as_xyz
'x,y,z'
loop_
_atom_site_label
_atom_site_type_symbol
_atom_site_fract_x
_atom_site_fract_y
_atom_site_fract_z
Sc1 Sc 0.0000 0.0000 0.0000
Al1 Al 0.5000 0.5000 0.5000
Cu1 Cu 0.7500 0.7500 0.7500
Au1 Au 0.2500 0.2500 0.2500

***

(2)
# PBE Sc2Al2ZnCuAu2, relaxed
# M_tot   0.0 μB per formula unit
# Final energy   -4.52 eV/atom
# Space-group type   P-4m2
data_Sc2Al2ZnCuAu2
_chemical_formula_sum 'Sc2 Al2 Zn1 Cu1 Au2'
_symmetry_space_group_name_H-M 'P 1'
_symmetry_Int_Tables_number 1
_cell_length_a 4.5799
_cell_length_b 4.5799
_cell_length_c 6.4278
_cell_angle_alpha 90.00
_cell_angle_beta 90.00
_cell_angle_gamma 90.00
loop_
_symmetry_equiv_pos_as_xyz
'x,y,z'
loop_
_atom_site_label
_atom_site_type_symbol
_atom_site_fract_x
_atom_site_fract_y
_atom_site_fract_z
Sc1 Sc 0.0000 0.5000 0.2464
Sc2 Sc 0.5000 0.0000 0.7536
Al1 Al 0.0000 0.5000 0.7568
Al2 Al 0.5000 0.0000 0.2432
Zn1 Zn 0.0000 0.0000 0.5000
Cu1 Cu 0.5000 0.5000 0.0000
Au1 Au 0.0000 0.0000 0.0000
Au2 Au 0.5000 0.5000 0.5000

***

(3)
# PBE Sr2Al4CuAu, relaxed
# Final energy   -3.56 eV/atom
# Space-group type   Amm2
data_Sr2Al4CuAu
_chemical_formula_sum 'Sr2 Al4 Cu1 Au1'
_symmetry_space_group_name_H-M 'P 1'
_symmetry_Int_Tables_number 1
_cell_length_a 7.3435
_cell_length_b 6.1676
_cell_length_c 6.1676
_cell_angle_alpha 39.99
_cell_angle_beta 90.00
_cell_angle_gamma 90.00
loop_
_symmetry_equiv_pos_as_xyz
'x,y,z'
loop_
_atom_site_label
_atom_site_type_symbol
_atom_site_fract_x
_atom_site_fract_y
_atom_site_fract_z
Sr1 Sr 0.0000 0.0000 0.0000
Sr2 Sr 0.5000 0.1020 0.1020
Al1 Al 0.1822 0.7199 0.7199
Al2 Al 0.3021 0.3789 0.3789
Al3 Al 0.6979 0.3789 0.3789
Al4 Al 0.8178 0.7199 0.7199
Cu1 Cu 0.0000 0.2749 0.2749
Au1 Au 0.5000 0.8260 0.8260

***

(4)
# PBE AlCuTcAu, relaxed
# M_tot   1.0 μB per formula unit
# Energy relative to the lowest polymorph listed for this composition   0.000 eV per atom
# Space-group type   F-43m
data_AlCuTcAu
_chemical_formula_sum 'Al1 Cu1 Tc1 Au1'
_symmetry_space_group_name_H-M 'P 1'
_symmetry_Int_Tables_number 1
_cell_length_a 4.3951
_cell_length_b 4.3951
_cell_length_c 4.3951
_cell_angle_alpha 60.00
_cell_angle_beta 60.00
_cell_angle_gamma 60.00
loop_
_symmetry_equiv_pos_as_xyz
'x,y,z'
loop_
_atom_site_label
_atom_site_type_symbol
_atom_site_fract_x
_atom_site_fract_y
_atom_site_fract_z
Al1 Al 0.0000 0.0000 0.0000
Cu1 Cu 0.2500 0.2500 0.2500
Tc1 Tc 0.7500 0.7500 0.7500
Au1 Au 0.5000 0.5000 0.5000

***

(5)
# PBE Tm3Al3CuAu2, relaxed
# M_tot   0.0 μB per formula unit
# Final energy   -4.59 eV/atom
# Space-group type   P-62m
data_Tm3Al3CuAu2
_chemical_formula_sum 'Tm3 Al3 Cu1 Au2'
_symmetry_space_group_name_H-M 'P 1'
_symmetry_Int_Tables_number 1
_cell_length_a 7.2358
_cell_length_b 7.2358
_cell_length_c 3.9418
_cell_angle_alpha 90.00
_cell_angle_beta 90.00
_cell_angle_gamma 120.00
loop_
_symmetry_equiv_pos_as_xyz
'x,y,z'
loop_
_atom_site_label
_atom_site_type_symbol
_atom_site_fract_x
_atom_site_fract_y
_atom_site_fract_z
Tm1 Tm 0.0000 0.4066 0.0000
Tm2 Tm 0.4066 0.0000 0.0000
Tm3 Tm 0.5934 0.5934 0.0000
Al1 Al 0.0000 0.7664 0.5000
Al2 Al 0.2336 0.2336 0.5000
Al3 Al 0.7664 0.0000 0.5000
Cu1 Cu 0.0000 0.0000 0.0000
Au1 Au 0.3333 0.6667 0.5000
Au2 Au 0.6667 0.3333 0.5000

***

(6)
# PBE Tm3Al3Cu2Au, relaxed
# M_tot   0.0 μB per formula unit
# Final energy   -4.48 eV/atom
# Space-group type   P-62m
data_Tm3Al3Cu2Au
_chemical_formula_sum 'Tm3 Al3 Cu2 Au1'
_symmetry_space_group_name_H-M 'P 1'
_symmetry_Int_Tables_number 1
_cell_length_a 7.0529
_cell_length_b 7.0529
_cell_length_c 4.0157
_cell_angle_alpha 90.00
_cell_angle_beta 90.00
_cell_angle_gamma 120.00
loop_
_symmetry_equiv_pos_as_xyz
'x,y,z'
loop_
_atom_site_label
_atom_site_type_symbol
_atom_site_fract_x
_atom_site_fract_y
_atom_site_fract_z
Tm1 Tm 0.0000 0.4194 0.0000
Tm2 Tm 0.4194 0.0000 0.0000
Tm3 Tm 0.5806 0.5806 0.0000
Al1 Al 0.0000 0.7498 0.5000
Al2 Al 0.2502 0.2502 0.5000
Al3 Al 0.7498 0.0000 0.5000
Cu1 Cu 0.3333 0.6667 0.5000
Cu2 Cu 0.6667 0.3333 0.5000
Au1 Au 0.0000 0.0000 0.0000

***

(7)
# PBE Tm3AlZn2CuAu2, relaxed
# M_tot   0.0 μB per formula unit
# Final energy   -3.96 eV/atom
# Space-group type   Amm2
data_Tm3AlZn2CuAu2
_chemical_formula_sum 'Tm3 Al1 Zn2 Cu1 Au2'
_symmetry_space_group_name_H-M 'P 1'
_symmetry_Int_Tables_number 1
_cell_length_a 3.8769
_cell_length_b 7.2837
_cell_length_c 7.2837
_cell_angle_alpha 120.48
_cell_angle_beta 90.00
_cell_angle_gamma 90.00
loop_
_symmetry_equiv_pos_as_xyz
'x,y,z'
loop_
_atom_site_label
_atom_site_type_symbol
_atom_site_fract_x
_atom_site_fract_y
_atom_site_fract_z
Tm1 Tm 0.0000 0.0000 0.0000
Tm2 Tm 0.0000 0.1928 0.6032
Tm3 Tm 0.0000 0.6032 0.1928
Al1 Al 0.5000 0.3685 0.3685
Zn1 Zn 0.5000 0.5978 0.8349
Zn2 Zn 0.5000 0.8349 0.5978
Cu1 Cu 0.0000 0.5936 0.5936
Au1 Au 0.5000 0.2662 0.9393
Au2 Au 0.5000 0.9393 0.2662

***

(8)
# PBE ZrAlCuAu, relaxed
# M_tot   0.0 μB per formula unit
# Final energy   -5.27 eV/atom
# Space-group type   P-6m2
data_ZrAlCuAu
_chemical_formula_sum 'Zr2 Al2 Cu2 Au2'
_symmetry_space_group_name_H-M 'P 1'
_symmetry_Int_Tables_number 1
_cell_length_a 4.3381
_cell_length_b 4.3381
_cell_length_c 8.4598
_cell_angle_alpha 90.00
_cell_angle_beta 90.00
_cell_angle_gamma 120.00
loop_
_symmetry_equiv_pos_as_xyz
'x,y,z'
loop_
_atom_site_label
_atom_site_type_symbol
_atom_site_fract_x
_atom_site_fract_y
_atom_site_fract_z
Zr1 Zr 0.0000 0.0000 0.0000
Zr2 Zr 0.3333 0.6667 0.5000
Al1 Al 0.6667 0.3333 0.2251
Al2 Al 0.6667 0.3333 0.7749
Cu1 Cu 0.3333 0.6667 0.1541
Cu2 Cu 0.3333 0.6667 0.8459
Au1 Au 0.0000 0.0000 0.3320
Au2 Au 0.0000 0.0000 0.6680

***

(9)
# PBE ZrAlCuAu, relaxed
# M_tot   0.0 μB per formula unit
# Final energy   -5.28 eV/atom
# Space-group type   P6_3mc
data_ZrAlCuAu
_chemical_formula_sum 'Zr2 Al2 Cu2 Au2'
_symmetry_space_group_name_H-M 'P 1'
_symmetry_Int_Tables_number 1
_cell_length_a 4.3510
_cell_length_b 4.3510
_cell_length_c 8.4207
_cell_angle_alpha 90.00
_cell_angle_beta 90.00
_cell_angle_gamma 120.00
loop_
_symmetry_equiv_pos_as_xyz
'x,y,z'
loop_
_atom_site_label
_atom_site_type_symbol
_atom_site_fract_x
_atom_site_fract_y
_atom_site_fract_z
Zr1 Zr 0.3333 0.6667 0.0000
Zr2 Zr 0.6667 0.3333 0.5000
Al1 Al 0.0000 0.0000 0.2674
Al2 Al 0.0000 0.0000 0.7674
Cu1 Cu 0.3333 0.6667 0.3384
Cu2 Cu 0.6667 0.3333 0.8384
Au1 Au 0.3333 0.6667 0.6606
Au2 Au 0.6667 0.3333 0.1606

***

(10)
# PBE Zr3Al3Cu2Au, relaxed
# M_tot   0.0 μB per formula unit
# Final energy   -5.76 eV/atom
# Space-group type   P-62m
data_Zr3Al3Cu2Au
_chemical_formula_sum 'Zr3 Al3 Cu2 Au1'
_symmetry_space_group_name_H-M 'P 1'
_symmetry_Int_Tables_number 1
_cell_length_a 6.6669
_cell_length_b 6.6669
_cell_length_c 4.0898
_cell_angle_alpha 90.00
_cell_angle_beta 90.00
_cell_angle_gamma 120.00
loop_
_symmetry_equiv_pos_as_xyz
'x,y,z'
loop_
_atom_site_label
_atom_site_type_symbol
_atom_site_fract_x
_atom_site_fract_y
_atom_site_fract_z
Zr1 Zr 0.0000 0.4263 0.0000
Zr2 Zr 0.4263 0.0000 0.0000
Zr3 Zr 0.5737 0.5737 0.0000
Al1 Al 0.0000 0.7436 0.5000
Al2 Al 0.2564 0.2564 0.5000
Al3 Al 0.7436 0.0000 0.5000
Cu1 Cu 0.3333 0.6667 0.5000
Cu2 Cu 0.6667 0.3333 0.5000
Au1 Au 0.0000 0.0000 0.0000

***

(11)
# PBE ZrAlCuAu, relaxed
# M_tot   0.0 μB per formula unit
# Final energy   -5.26 eV/atom
# Space-group type   P-3m1
data_ZrAlCuAu
_chemical_formula_sum 'Zr2 Al2 Cu2 Au2'
_symmetry_space_group_name_H-M 'P 1'
_symmetry_Int_Tables_number 1
_cell_length_a 4.3498
_cell_length_b 4.3498
_cell_length_c 8.4292
_cell_angle_alpha 90.00
_cell_angle_beta 90.00
_cell_angle_gamma 120.00
loop_
_symmetry_equiv_pos_as_xyz
'x,y,z'
loop_
_atom_site_label
_atom_site_type_symbol
_atom_site_fract_x
_atom_site_fract_y
_atom_site_fract_z
Zr1 Zr 0.3333 0.6667 0.2646
Zr2 Zr 0.6667 0.3333 0.7354
Al1 Al 0.0000 0.0000 0.0000
Al2 Al 0.0000 0.0000 0.5000
Cu1 Cu 0.3333 0.6667 0.5831
Cu2 Cu 0.6667 0.3333 0.4169
Au1 Au 0.3333 0.6667 0.9015
Au2 Au 0.6667 0.3333 0.0985

***

(12)
# PBE DyEr2Al3NiAu2, relaxed
# M_tot   0.0 μB per formula unit
# Final energy   -4.88 eV/atom
# Space-group type   Amm2
data_DyEr2Al3NiAu2
_chemical_formula_sum 'Dy1 Er2 Al3 Ni1 Au2'
_symmetry_space_group_name_H-M 'P 1'
_symmetry_Int_Tables_number 1
_cell_length_a 4.0719
_cell_length_b 7.1382
_cell_length_c 7.1382
_cell_angle_alpha 120.07
_cell_angle_beta 90.00
_cell_angle_gamma 90.00
loop_
_symmetry_equiv_pos_as_xyz
'x,y,z'
loop_
_atom_site_label
_atom_site_type_symbol
_atom_site_fract_x
_atom_site_fract_y
_atom_site_fract_z
Dy1 Dy 0.0000 0.0000 0.0000
Er1 Er 0.0000 0.1949 0.5970
Er2 Er 0.0000 0.5970 0.1949
Al1 Al 0.5000 0.3719 0.3719
Al2 Al 0.5000 0.5964 0.8210
Al3 Al 0.5000 0.8210 0.5964
Ni1 Ni 0.0000 0.5947 0.5947
Au1 Au 0.5000 0.2654 0.9294
Au2 Au 0.5000 0.9294 0.2654